Entry 1:
First-principles (PBE-GGA) data for TlWCl3 after structural relaxation, as listed in the Alexandria database.

Unit cell a=3.238 b=6.938 c=12.077 alpha=103.22 beta=90.03 gamma=103.49
Positions (direct):
Tl (0.124, 0.248, 0.488)
Tl (0.876, 0.752, 0.512)
W (0.267, 0.534, 0.102)
W (0.733, 0.466, 0.898)
Cl (0.113, 0.226, 0.951)
Cl (0.330, 0.661, 0.811)
Cl (0.391, 0.781, 0.282)
Cl (0.609, 0.219, 0.718)
Cl (0.670, 0.339, 0.189)
Cl (0.887, 0.774, 0.049)

## Properties
Formation energy from raw total energies: -537 meV per atom
Space-group type: P-1



Entry 2:
First-principles (PBE-GGA) data for Tl2WCl after structural relaxation, as listed in the Alexandria database.

Unit cell a=3.172 b=3.172 c=9.226 alpha=90.00 beta=90.00 gamma=109.36
Positions (direct):
Tl (0.000, 0.000, 0.247)
Tl (0.000, 0.000, 0.753)
W (0.500, 0.500, 0.000)
Cl (0.500, 0.500, 0.500)

## Properties
Formation energy from raw total energies: 695 meV per atom
Space-group type: Cmmm



Entry 3:
First-principles (PBE-GGA) data for Tl2WCl after structural relaxation, as listed in the Alexandria database.

Unit cell a=6.883 b=6.883 c=6.883 alpha=144.93 beta=144.93 gamma=50.44
Positions (direct):
Tl (0.000, 0.000, 0.000)
Tl (0.750, 0.250, 0.500)
W (0.250, 0.750, 0.500)
Cl (0.500, 0.500, 0.000)

## Properties
Formation energy from raw total energies: 926 meV per atom
Space-group type: I-4m2



Entry 4:
First-principles (PBE-GGA) data for Tl2WCl8 after structural relaxation, as listed in the Alexandria database.

Unit cell a=8.148 b=8.148 c=6.182 alpha=97.44 beta=97.44 gamma=79.28
Positions (direct):
Tl (0.127, 0.127, 0.297)
Tl (0.873, 0.873, 0.703)
W (0.500, 0.500, 0.500)
Cl (0.102, 0.102, 0.786)
Cl (0.236, 0.549, 0.620)
Cl (0.389, 0.389, 0.163)
Cl (0.451, 0.764, 0.380)
Cl (0.549, 0.236, 0.620)
Cl (0.611, 0.611, 0.837)
Cl (0.764, 0.451, 0.380)
Cl (0.898, 0.898, 0.214)

## Properties
Formation energy from raw total energies: -861 meV per atom
Space-group type: C2/m